[1]
The following is a DFT calculation (GGA-PBE) of a relaxed structure of BaBeS2.

Cell lengths 6.788, 6.788, 7.754 Å; angles 90.00, 90.00, 90.00 degrees
Space group I-42d (No. 122)
Symmetry-distinct sites (fractional):
Ba: 0.000 0.000 0.000 (multiplicity 4)
Be: 0.000 0.000 0.500 (multiplicity 4)
S: 0.134 0.750 0.625 (multiplicity 8)

Properties
raw formation energy: -5.8 eV/f.u.
DFT total energy: -0.181 hartree per atom

=====

[2]
The following is a DFT calculation (GGA-PBE) of a relaxed structure of LaPrAs.

Cell lengths 4.156, 5.984, 8.380 Å; angles 90.00, 90.29, 90.00 degrees
Space group P2_1/m (No. 11)
Symmetry-distinct sites (fractional):
La: 0.247 0.250 0.117 (multiplicity 2)
Pr: 0.252 0.250 0.622 (multiplicity 2)
As: 0.251 0.750 0.631 (multiplicity 2)

Properties
energy of formation from the pure elements: -880 meV/atom
DFT total energy: -0.208 hartree per atom

=====

[3]
The following is a DFT calculation (GGA-PBE) of a relaxed structure of Pr3Sm7Y.

Cell lengths 11.828, 10.237, 6.513 Å; angles 90.00, 94.72, 90.00 degrees
Space group C2/m (No. 12)
Symmetry-distinct sites (fractional):
Pr: 0.000 0.000 0.000 (multiplicity 2)
Pr: 0.000 0.174 0.500 (multiplicity 4)
Sm: 0.000 0.500 0.500 (multiplicity 2)
Sm: 0.240 0.000 0.713 (multiplicity 4)
Sm: 0.243 0.329 0.761 (multiplicity 8)
Y: 0.000 0.500 0.000 (multiplicity 2)

Properties
offset from the most stable computed form: 59 meV/atom
energy of formation from the pure elements: 225 meV/atom
DFT total energy: -0.172 hartree per atom

=====

[4]
The following is a DFT calculation (GGA-PBE) of a relaxed structure of BaCa2Pd.

Cell lengths 7.904, 7.904, 7.904 Å; angles 90.00, 90.00, 90.00 degrees
Space group Fm-3m (No. 225)
Symmetry-distinct sites (fractional):
Ba: 0.000 0.000 0.000 (multiplicity 4)
Ca: 0.250 0.250 0.250 (multiplicity 8)
Pd: 0.000 0.000 0.500 (multiplicity 4)

Properties
offset from the most stable computed form: 359 meV/atom
energy of formation from the pure elements: -30 meV/atom
DFT total energy: -0.103 hartree per atom

=====

[5]
The following is a DFT calculation (GGA-PBE) of a relaxed structure of CsCaTeHAu.

Cell lengths 4.804, 4.024, 15.895 Å; angles 90.00, 90.00, 90.00 degrees
Space group Amm2 (No. 38)
Symmetry-distinct sites (fractional):
Cs: 0.000 0.000 0.000 (multiplicity 2)
Ca: 0.500 0.000 0.708 (multiplicity 2)
Te: 0.500 0.000 0.361 (multiplicity 2)
H: 0.500 0.000 0.126 (multiplicity 2)
Au: 0.000 0.000 0.270 (multiplicity 2)

Properties
offset from the most stable computed form: 186 meV/atom
DFT total energy: -0.112 hartree per atom

=====

[6]
The following is a DFT calculation (GGA-PBE) of a relaxed structure of CsMgCu2I6.

Cell lengths 15.138, 16.402, 8.446 Å; angles 90.00, 112.18, 90.00 degrees
Space group C2/c (No. 15)
Symmetry-distinct sites (fractional):
Cs: 0.000 0.109 0.250 (multiplicity 4)
Mg: 0.000 0.220 0.750 (multiplicity 4)
Cu: 0.186 0.432 0.154 (multiplicity 8)
I: 0.086 0.292 0.059 (multiplicity 8)
I: 0.128 0.098 0.731 (multiplicity 8)
I: 0.143 0.459 0.421 (multiplicity 8)

Properties
raw formation energy: -6.1 eV/f.u.
DFT total energy: -0.096 hartree per atom

=====

[7]
The following is a DFT calculation (GGA-PBE) of a relaxed structure of Ba2PaSnSe6.

Cell lengths 7.456, 7.876, 13.063 Å; angles 90.00, 124.30, 90.00 degrees
Space group P2_1/c (No. 14)
Symmetry-distinct sites (fractional):
Ba: 0.222 0.078 0.248 (multiplicity 4)
Pa: 0.500 0.000 0.000 (multiplicity 2)
Sn: 0.000 0.000 0.500 (multiplicity 2)
Se: 0.151 0.194 0.953 (multiplicity 4)
Se: 0.263 0.701 0.952 (multiplicity 4)
Se: 0.348 0.018 0.753 (multiplicity 4)

Properties
raw formation energy: -14.0 eV/f.u.
DFT total energy: -0.192 hartree per atom

=====

[8]
The following is a DFT calculation (GGA-PBE) of a relaxed structure of Pr5Nd3Sm4.

Cell lengths 6.373, 7.347, 9.018 Å; angles 89.97, 89.94, 90.00 degrees
Space group P-1 (No. 2)
Symmetry-distinct sites (fractional):
Pr: 0.000 0.000 0.000 (multiplicity 1)
Pr: 0.332 0.500 0.666 (multiplicity 2)
Pr: 0.500 0.249 0.000 (multiplicity 2)
Nd: 0.000 0.500 0.000 (multiplicity 1)
Nd: 0.166 0.248 0.335 (multiplicity 2)
Sm: 0.167 0.751 0.334 (multiplicity 2)
Sm: 0.334 0.000 0.665 (multiplicity 2)

Properties
offset from the most stable computed form: 0 meV/atom
energy of formation from the pure elements: 12 meV/atom
DFT total energy: -0.174 hartree per atom